Pm5Si2S2 | PBE | optimized geometry

CIF file:
```
data_Pm5Si2S2
_cell_length_a 7.636
_cell_length_b 7.726
_cell_length_c 8.243
_cell_angle_alpha 90.00
_cell_angle_beta 62.41
_cell_angle_gamma 90.00
_symmetry_space_group_name_H-M 'P 1'
_symmetry_Int_Tables_number 1
_symmetry_space_group_name_Hall 'P 1'
loop_
_atom_site_label
_atom_site_fract_x
_atom_site_fract_y
_atom_site_fract_z
Pm1 0.000 0.000 0.000
Pm2 0.500 0.500 0.000
Pm3 0.467 0.165 0.720
Pm4 0.813 0.835 0.720
Pm5 0.313 0.665 0.720
Pm6 0.967 0.335 0.720
Pm7 0.533 0.835 0.280
Pm8 0.187 0.165 0.280
Pm9 0.687 0.335 0.280
Pm10 0.033 0.665 0.280
Si1 0.118 0.382 0.000
Si2 0.882 0.618 0.000
Si3 0.382 0.882 0.000
Si4 0.618 0.118 0.000
S1 0.197 0.000 0.606
S2 0.697 0.500 0.606
S3 0.803 0.000 0.394
S4 0.303 0.500 0.394
```

Calculated values
Total moment = 0.00 Bohr magnetons per cell
ΔE_f (raw) = -1.209 eV per atom
Total DFT energy (no corrections) = -107.5 eV for the cell shown



Ti2GeRh8 | PBE | optimized geometry

CIF file:
```
data_Ti2GeRh8
_cell_length_a 4.336
_cell_length_b 5.632
_cell_length_c 7.573
_cell_angle_alpha 111.68
_cell_angle_beta 106.63
_cell_angle_gamma 90.00
_symmetry_space_group_name_H-M 'P 1'
_symmetry_Int_Tables_number 1
_symmetry_space_group_name_Hall 'P 1'
loop_
_atom_site_label
_atom_site_fract_x
_atom_site_fract_y
_atom_site_fract_z
Ti1 0.804 0.306 0.609
Ti2 0.196 0.694 0.391
Ge1 0.500 0.000 0.000
Rh1 0.360 0.594 0.720
Rh2 0.641 0.877 0.283
Rh3 0.821 0.820 0.643
Rh4 0.999 0.261 0.998
Rh5 0.179 0.180 0.357
Rh6 0.359 0.123 0.717
Rh7 0.640 0.406 0.280
Rh8 0.001 0.739 0.002
```

Calculated values
Calculated formation energy = -4.766 eV/f.u.
Total moment = 0.00 Bohr magnetons per cell
Total DFT energy (no corrections) = -84.0 eV for the cell shown



YAlTl | PBE | optimized geometry

CIF file:
```
data_YAlTl
_cell_length_a 6.526
_cell_length_b 6.525
_cell_length_c 3.492
_cell_angle_alpha 74.49
_cell_angle_beta 74.46
_cell_angle_gamma 31.04
_symmetry_space_group_name_H-M 'P 1'
_symmetry_Int_Tables_number 1
_symmetry_space_group_name_Hall 'P 1'
loop_
_atom_site_label
_atom_site_fract_x
_atom_site_fract_y
_atom_site_fract_z
Y1 0.654 0.654 0.346
Tl1 0.348 0.348 0.652
Al1 0.998 0.998 0.002
```

Calculated values
Energy above the lowest structure with this stoichiometry = 0.44 eV/f.u.
Calculated formation energy = -0.417 eV/f.u.
Total moment = 0.00 Bohr magnetons per cell
Total DFT energy (no corrections) = -13.0 eV for the cell shown



K4PbF6 | PBE | optimized geometry

CIF file:
```
data_K4PbF6
_cell_length_a 7.692
_cell_length_b 7.692
_cell_length_c 7.692
_cell_angle_alpha 89.96
_cell_angle_beta 89.96
_cell_angle_gamma 90.04
_symmetry_space_group_name_H-M 'P 1'
_symmetry_Int_Tables_number 1
_symmetry_space_group_name_Hall 'P 1'
loop_
_atom_site_label
_atom_site_fract_x
_atom_site_fract_y
_atom_site_fract_z
K1 0.401 0.099 0.250
K2 0.901 0.250 0.401
K3 0.250 0.599 0.099
K4 0.250 0.250 0.750
K5 0.750 0.750 0.250
K6 0.750 0.401 0.901
K7 0.099 0.750 0.599
K8 0.599 0.901 0.750
Pb1 0.500 0.500 0.500
Pb2 0.000 0.000 0.000
F1 0.695 0.050 0.074
F2 0.074 0.305 0.050
F3 0.574 0.450 0.195
F4 0.950 0.074 0.695
F5 0.550 0.195 0.574
F6 0.195 0.426 0.450
F7 0.805 0.574 0.550
F8 0.450 0.805 0.426
F9 0.050 0.926 0.305
F10 0.426 0.550 0.805
F11 0.926 0.695 0.950
F12 0.305 0.950 0.926
```

Calculated values
Total moment = 0.00 Bohr magnetons per cell
ΔE_f (raw) = -2.599 eV per atom
Total DFT energy (no corrections) = -95.8 eV for the cell shown



In2CuIr | PBE | optimized geometry

CIF file:
```
data_In2CuIr
_cell_length_a 8.923
_cell_length_b 8.923
_cell_length_c 8.923
_cell_angle_alpha 20.20
_cell_angle_beta 20.20
_cell_angle_gamma 20.20
_symmetry_space_group_name_H-M 'P 1'
_symmetry_Int_Tables_number 1
_symmetry_space_group_name_Hall 'P 1'
loop_
_atom_site_label
_atom_site_fract_x
_atom_site_fract_y
_atom_site_fract_z
Cu1 0.756 0.756 0.756
In1 0.010 0.010 0.010
In2 0.240 0.240 0.240
Ir1 0.494 0.494 0.494
```

Calculated values
Calculated formation energy = 1.014 eV/f.u.
Total moment = 0.00 Bohr magnetons per cell
Total DFT energy (no corrections) = -17.4 eV for the cell shown



La8TlAg2 | PBE | optimized geometry

CIF file:
```
data_La8TlAg2
_cell_length_a 5.716
_cell_length_b 8.641
_cell_length_c 8.641
_cell_angle_alpha 116.39
_cell_angle_beta 99.35
_cell_angle_gamma 99.35
_symmetry_space_group_name_H-M 'P 1'
_symmetry_Int_Tables_number 1
_symmetry_space_group_name_Hall 'P 1'
loop_
_atom_site_label
_atom_site_fract_x
_atom_site_fract_y
_atom_site_fract_z
La1 0.916 0.919 0.699
La2 0.916 0.699 0.919
La3 0.311 0.606 0.606
La4 0.500 0.765 0.235
La5 0.500 0.235 0.765
La6 0.689 0.394 0.394
La7 0.084 0.301 0.081
La8 0.084 0.081 0.301
Tl1 0.500 0.000 0.000
Ag1 0.000 0.311 0.689
Ag2 0.000 0.689 0.311
```

Calculated values
Energy above the lowest structure with this stoichiometry = 0.70 eV/f.u.
Calculated formation energy = -1.011 eV/f.u.
Total moment = 0.00 Bohr magnetons per cell
Total DFT energy (no corrections) = -48.5 eV for the cell shown



Sc3CrP | PBE | optimized geometry

CIF file:
```
data_Sc3CrP
_cell_length_a 4.917
_cell_length_b 4.917
_cell_length_c 4.917
_cell_angle_alpha 90.00
_cell_angle_beta 90.00
_cell_angle_gamma 90.00
_symmetry_space_group_name_H-M 'P 1'
_symmetry_Int_Tables_number 1
_symmetry_space_group_name_Hall 'P 1'
loop_
_atom_site_label
_atom_site_fract_x
_atom_site_fract_y
_atom_site_fract_z
Sc1 0.000 0.500 0.000
Sc2 0.000 0.000 0.500
Sc3 0.500 0.000 0.000
Cr1 0.500 0.500 0.500
P1 0.000 0.000 0.000
```

Calculated values
Energy above the lowest structure with this stoichiometry = 0.00 eV/f.u.
Calculated formation energy = -0.643 eV/f.u.
Total moment = 3.88 Bohr magnetons per cell
Total DFT energy (no corrections) = -34.7 eV for the cell shown



RbSr2AlRh | PBE | optimized geometry

CIF file:
```
data_RbSr2AlRh
_cell_length_a 5.739
_cell_length_b 6.141
_cell_length_c 5.739
_cell_angle_alpha 90.00
_cell_angle_beta 90.00
_cell_angle_gamma 90.00
_symmetry_space_group_name_H-M 'P 1'
_symmetry_Int_Tables_number 1
_symmetry_space_group_name_Hall 'P 1'
loop_
_atom_site_label
_atom_site_fract_x
_atom_site_fract_y
_atom_site_fract_z
Sr1 0.000 0.000 0.500
Sr2 0.500 0.000 0.000
Rh1 0.000 0.000 0.000
Al1 0.500 0.500 0.500
Rb1 0.000 0.500 0.000
```

Calculated values
Energy above the lowest structure with this stoichiometry = 2.31 eV/f.u.
Calculated formation energy = 1.711 eV/f.u.
Total moment = 0.63 Bohr magnetons per cell
Total DFT energy (no corrections) = -13.7 eV for the cell shown



NdEuCdRh | PBE | optimized geometry

CIF file:
```
data_NdEuCdRh
_cell_length_a 5.219
_cell_length_b 5.219
_cell_length_c 5.219
_cell_angle_alpha 60.00
_cell_angle_beta 60.00
_cell_angle_gamma 60.00
_symmetry_space_group_name_H-M 'P 1'
_symmetry_Int_Tables_number 1
_symmetry_space_group_name_Hall 'P 1'
loop_
_atom_site_label
_atom_site_fract_x
_atom_site_fract_y
_atom_site_fract_z
Eu1 0.500 0.500 0.500
Rh1 0.250 0.250 0.250
Nd1 0.000 0.000 0.000
Cd1 0.750 0.750 0.750
```

Calculated values
Calculated formation energy = -1.435 eV/f.u.
Total moment = 6.97 Bohr magnetons per cell
Total DFT energy (no corrections) = -24.7 eV for the cell shown



Pr2PuWN4 | PBE | optimized geometry

CIF file:
```
data_Pr2PuWN4
_cell_length_a 3.429
_cell_length_b 6.323
_cell_length_c 12.662
_cell_angle_alpha 90.00
_cell_angle_beta 90.00
_cell_angle_gamma 105.73
_symmetry_space_group_name_H-M 'P 1'
_symmetry_Int_Tables_number 1
_symmetry_space_group_name_Hall 'P 1'
loop_
_atom_site_label
_atom_site_fract_x
_atom_site_fract_y
_atom_site_fract_z
Pr1 0.369 0.738 0.539
Pr2 0.631 0.262 0.039
Pr3 0.631 0.262 0.461
Pr4 0.369 0.738 0.961
Pu1 0.083 0.165 0.750
Pu2 0.917 0.835 0.250
W1 0.823 0.647 0.750
W2 0.177 0.353 0.250
N1 0.273 0.545 0.133
N2 0.727 0.455 0.633
N3 0.727 0.455 0.867
N4 0.273 0.545 0.367
N5 0.000 0.000 0.500
N6 0.000 0.000 0.000
N7 0.432 0.865 0.750
N8 0.568 0.135 0.250
```

Calculated values
Total moment = 10.65 Bohr magnetons per cell
ΔE_f (raw) = -0.812 eV per atom
Total DFT energy (no corrections) = -153.3 eV for the cell shown



Cs4U3PdS8 | PBE | optimized geometry

CIF file:
```
data_Cs4U3PdS8
_cell_length_a 8.090
_cell_length_b 9.337
_cell_length_c 8.120
_cell_angle_alpha 115.80
_cell_angle_beta 119.88
_cell_angle_gamma 90.00
_symmetry_space_group_name_H-M 'P 1'
_symmetry_Int_Tables_number 1
_symmetry_space_group_name_Hall 'P 1'
loop_
_atom_site_label
_atom_site_fract_x
_atom_site_fract_y
_atom_site_fract_z
Cs1 0.500 0.000 0.000
Cs2 0.500 0.000 0.500
Cs3 0.000 0.000 0.000
Cs4 0.000 0.000 0.500
U1 0.500 0.500 0.000
U2 0.500 0.500 0.500
U3 0.000 0.500 0.500
Pd1 0.000 0.500 0.000
S1 0.232 0.679 0.946
S2 0.235 0.681 0.470
S3 0.272 0.315 0.544
S4 0.715 0.679 0.946
S5 0.285 0.321 0.054
S6 0.728 0.685 0.456
S7 0.765 0.319 0.530
S8 0.768 0.321 0.054
```

Calculated values
Total moment = 5.95 Bohr magnetons per cell
ΔE_f (raw) = -1.185 eV per atom
Total DFT energy (no corrections) = -94.4 eV for the cell shown